DFT (PBE) results for Ce2TmAg2Hg2 after structural relaxation.

Cell lengths 8.513, 8.513, 8.513 Å; angles 33.14, 33.14, 33.14 degrees
Element x y z (fractional)
Ce  0.142  0.142  0.142
Ce  0.858  0.858  0.858
Tm  0.000  0.000  0.000
Ag  0.413  0.413  0.413
Ag  0.587  0.587  0.587
Hg  0.275  0.275  0.275
Hg  0.725  0.725  0.725

Computed properties:
total energy: -3.4094 eV per atom
total magnetization: 0.308 μB per atom